Below is crystalline CdAg2Te2 at its relaxed geometry, with properties calculated at the GGA-PBEsol level.

abc: 4.338 4.338 7.410
angles: 107.02 107.02 90.00
Element x y z (fractional)
Te: 0.250 0.750 0.500
Te: 0.750 0.250 0.500
Ag: 0.404 0.404 0.807
Ag: 0.596 0.596 0.193
Cd: 0.000 0.000 0.000

Formation energy without anion corrections: 0.288 eV/atom
Raw total energy: -13.43 eV for the cell shown
Density of states at the Fermi level: 0.48 states/eV/atom